VASP calculation (PBEsol) on crystalline SbWCl2 at its relaxed geometry.

```
SbWCl2
1.0
-1.8450 -1.7875 1.6878
2.4254 -1.6681 0.8846
1.0745 4.9842 6.4532
W Sb Cl
1 1 2
direct
0.5000 0.5000 0.7625 W
0.0000 0.0000 0.5221 Sb
0.5000 0.5000 0.2728 Cl
0.0000 0.0000 0.9425 Cl
```

## Properties
- Raw formation energy: 0.869 eV/f.u.
- DOS at the Fermi energy: 3.4 states/eV/cell
- Distance to the lowest polymorph of the same formula: 35 kJ/mol of formula units
- Magnetic moment: 0.001 μB/atom
- V: 19.4 A^3/atom

=====

VASP calculation (PBEsol) on crystalline Mg6Zn7 at its relaxed geometry.

```
Mg6Zn7
1.0
5.1367 0.0000 0.0000
2.5683 4.4485 0.0000
2.5683 1.4828 9.7176
Zn Mg
7 6
direct
0.4064 0.9104 0.2767 Zn
0.5936 0.5936 0.7233 Zn
0.5000 0.5000 0.5000 Zn
0.0896 0.5936 0.7233 Zn
0.4064 0.4064 0.2767 Zn
0.9104 0.4064 0.2767 Zn
0.5936 0.0896 0.7233 Zn
0.3335 0.3335 0.9996 Mg
0.0486 0.0486 0.8542 Mg
0.1506 0.1506 0.5482 Mg
0.6665 0.6665 0.0004 Mg
0.8494 0.8494 0.4518 Mg
0.9514 0.9514 0.1458 Mg
```

## Properties
- DFT formation energy: -0.1065 eV per atom
- DOS at the Fermi energy: 3.8 states/eV/cell
- Magnetic moment: 0.000 μB/atom
- V: 17.1 A^3/atom